La2Zn3In, relaxed, DFT PBE-GGA; total DFT energy (no corrections) = -3.128 eV/atom; energy of formation = -392 meV/atom; space-group type = Fmmm; crystal system = orthorhombic; M_tot = 0.00 μB per atom
1.0
0.000 4.732 8.182
3.834 0.000 8.182
3.834 4.732 0.000
La Zn In
4 6 2
Direct
0.237 0.763 0.763 La
0.250 0.250 0.250 La
0.750 0.750 0.750 La
0.763 0.237 0.237 La
0.164 0.164 0.836 Zn
0.166 0.672 0.328 Zn
0.328 0.834 0.166 Zn
0.672 0.166 0.834 Zn
0.834 0.328 0.672 Zn
0.836 0.836 0.164 Zn
0.336 0.336 0.664 In
0.664 0.664 0.336 In